No. 1
Below is an optimized crystal structure of KBaTc2, with properties calculated at the PBE level.

Summary:
Energy relative to the elements (eV/f.u.): 3.20
Space-group type: Imm2 (44)
E (eV/f.u.): -20.6
DOS at the Fermi energy (states/eV/cell): 3.245

a b c (Å): 6.540 6.540 6.540
angles (deg): 146.33 127.42 63.90
Sites, in units of the cell vectors:
Tc: 0.937 0.937 0.000
Tc: 0.820 0.320 0.500
K: 0.223 0.723 0.500
Ba: 0.520 0.520 0.000


No. 2
Below is an optimized crystal structure of KBa3Tc, with properties calculated at the PBE level.

Summary:
Energy relative to the elements (eV/f.u.): 7.70
Space-group type: Pm-3m (221)
E (eV/f.u.): -9.5
DOS at the Fermi energy (states/eV/cell): 6.054

a b c (Å): 6.600 6.600 6.600
angles (deg): 90.00 90.00 90.00
Each line ends with the local moment (μB).
Sites, in units of the cell vectors:
Ba: 0.500 0.000 0.000  -0.18
Ba: 0.000 0.500 0.000  -0.24
Tc: 0.500 0.500 0.500  3.51
Ba: 0.000 0.000 0.500  -0.31
K: 0.000 0.000 0.000  -0.13